(1)
A relaxed LiCeSi2 crystal, computed with PBE-GGA.

The structure in POSCAR format:
```
LiCeSi2
1.0
4.209 0.000 0.000
0.000 4.214 0.000
0.000 0.000 4.214
Si Ce Li
2 1 1
direct
0.000 0.000 0.500 Si
0.000 0.500 0.000 Si
0.500 0.000 0.000 Ce
0.500 0.500 0.500 Li
```

- Formation energy (no corrections): -0.346 eV per atom
- Space-group type: P4/mmm, No. 123
- Fermi-level density of states: 3.5 states/eV per cell


(2)
A relaxed La2HgPd4 crystal, computed with PBE-GGA.

The structure in POSCAR format:
```
La2HgPd4
1.0
5.096 0.000 0.000
0.000 5.096 0.000
-2.548 -2.548 7.166
La Hg Pd
2 1 4
direct
0.631 0.631 0.263 La
0.369 0.369 0.737 La
0.000 0.000 0.000 Hg
0.810 0.810 0.620 Pd
0.190 0.190 0.380 Pd
0.000 0.500 0.000 Pd
0.500 0.000 0.000 Pd
```

- Space-group type: I4/mmm, No. 139
- ΔH_f (0 K): -0.210 eV per atom
- Fermi-level density of states: 3.7 states/eV per cell


(3)
A relaxed Dy2Se5 crystal, computed with PBE-GGA.

The structure in POSCAR format:
```
Dy2Se5
1.0
-1.248 1.823 3.315
-1.992 -3.284 1.056
17.824 -8.004 8.721
Dy Se
4 10
direct
0.104 0.250 0.208 Dy
0.896 0.750 0.792 Dy
0.306 0.250 0.612 Dy
0.694 0.750 0.388 Dy
0.950 0.250 0.900 Se
0.050 0.750 0.100 Se
0.550 0.250 0.100 Se
0.450 0.750 0.900 Se
0.750 0.250 0.500 Se
0.250 0.750 0.500 Se
0.176 0.250 0.352 Se
0.824 0.750 0.648 Se
0.375 0.250 0.750 Se
0.625 0.750 0.250 Se
```

- Formation energy (no corrections): -1.354 eV per atom
- Space-group type: Cmcm, No. 63
- Fermi-level density of states: 3.2 states/eV per cell